Version 1
Here is crystalline PrSm9Ho2 at its relaxed geometry from Alexandria via LeMat-Bulk. Energies are from PBE-GGA.

N(E_F) in states/eV/atom: 1.653

a = 5.1132 Å, b = 5.1132 Å, c = 15.3466 Å
α = 90.00°, β = 90.00°, γ = 90.00°
Closest atoms and distances in Å follow each position.
Space group P4/mmm (No. 123)
Asymmetric unit:
Pr: 0.0000 0.0000 0.0000  12 Sm 3.62-3.65
Sm: 0.0000 0.5000 0.1694  2 Ho 3.60, 8 Sm 3.61-3.65, 2 Pr 3.65
Sm: 0.0000 0.5000 0.5000  8 Sm 3.59-3.62, 4 Ho 3.60
Sm: 0.5000 0.5000 0.0000  4 Pr 3.62, 8 Sm 3.65
Sm: 0.5000 0.5000 0.3353  8 Sm 3.59-3.61, 4 Ho 3.62
Ho: 0.0000 0.0000 0.3348  12 Sm 3.60-3.62

=====

Version 2
Here is crystalline PrSm9Ho2 at its relaxed geometry from Alexandria via LeMat-Bulk. Energies are from PBE-GGA.

N(E_F) in states/eV/atom: 1.169

a = 11.4375 Å, b = 11.4375 Å, c = 3.5587 Å
α = 90.00°, β = 90.00°, γ = 120.00°
Closest atoms and distances in Å follow each position.
Space group P6/mmm (No. 191)
Asymmetric unit:
Pr: 0.0000 0.0000 0.0000  2 Pr 3.56, 12 Sm 3.93
Sm: 0.0000 0.5000 0.0000  2 Ho 3.30, 10 Sm 3.56-3.66
Sm: 0.1772 0.3543 0.5000  8 Sm 3.51-3.66, 2 Ho 3.57
Ho: 0.3333 0.6667 0.0000  9 Sm 3.30-3.57, 2 Ho 3.56

=====

Which of them is most stable, and which least? Most stable: version 1; least stable: version 2.

=====

Version 1
Here is crystalline PrSmHo4 at its relaxed geometry from Alexandria via LeMat-Bulk. Energies are from PBE-GGA.

N(E_F) in states/eV/atom: 2.564

a = 9.3607 Å, b = 9.3607 Å, c = 9.3607 Å
α = 90.00°, β = 90.00°, γ = 90.00°
Closest atoms and distances in Å follow each position.
Space group F-43m (No. 216)
Asymmetric unit:
Pr: 0.0000 0.0000 0.0000  12 Ho 3.88, 4 Sm 4.05
Sm: 0.2500 0.2500 0.7500  12 Ho 3.88, 4 Pr 4.05
Ho: 0.1246 0.1246 0.3754  6 Ho 3.30-3.32

=====

Version 2
Here is crystalline PrSmHo4 at its relaxed geometry from Alexandria via LeMat-Bulk. Energies are from PBE-GGA.

N(E_F) in states/eV/atom: 1.289

a = 6.3226 Å, b = 7.2460 Å, c = 9.2715 Å
α = 90.00°, β = 109.90°, γ = 90.00°
Closest atoms and distances in Å follow each position.
Space group P2_1/m (No. 11)
Asymmetric unit:
Pr: 0.1901 0.2500 0.3714  10 Ho 3.48-3.90, 1 Sm 3.60
Sm: 0.2387 0.7500 0.0026  5 Ho 3.14-3.51
Ho: 0.1744 0.7500 0.3638  1 Sm 3.51, 7 Ho 3.52-3.75, 3 Pr 3.62-3.90
Ho: 0.2584 0.2500 0.9972  2 Sm 3.14-3.18, 4 Ho 3.45-3.46
Ho: 0.3560 0.5029 0.7110  7 Ho 3.45-3.75, 3 Pr 3.48-3.73, 2 Sm 3.51-3.53

=====

Which of them is most stable, and which least? Most stable: version 2; least stable: version 1.

=====

Version 1
Here is crystalline Pr5Sm2Ho3 at its relaxed geometry from Alexandria via LeMat-Bulk. Energies are from PBE-GGA.

N(E_F) in states/eV/atom: 1.493

a = 9.4923 Å, b = 22.2245 Å, c = 6.8916 Å
α = 90.00°, β = 90.00°, γ = 90.00°
Closest atoms and distances in Å follow each position.
Space group Ibam (No. 72)
Asymmetric unit:
Pr: 0.0000 0.0000 0.2500  6 Pr 3.44-3.45
Pr: 0.0000 0.2538 0.2500  2 Sm 3.40, 4 Pr 3.42-3.45
Pr: 0.0972 0.1275 0.0000  1 Sm 2.92
Sm: 0.0952 0.3795 0.5000  1 Pr 2.92, 1 Ho 3.24
Ho: 0.0000 0.5000 0.2500  4 Sm 3.31, 2 Ho 3.45
Ho: 0.2459 0.3818 0.0000  1 Sm 3.24, 1 Pr 3.34

=====

Version 2
Here is crystalline Pr5Sm2Ho3 at its relaxed geometry from Alexandria via LeMat-Bulk. Energies are from PBE-GGA.

N(E_F) in states/eV/atom: 1.751

a = 10.8860 Å, b = 14.9742 Å, c = 10.1142 Å
α = 90.00°, β = 122.47°, γ = 90.00°
Closest atoms and distances in Å follow each position.
Space group C2/c (No. 15)
Asymmetric unit:
Pr: 0.0000 0.0230 0.2500  3 Pr 3.12-3.46, 2 Ho 3.42
Pr: 0.0000 0.2316 0.2500  1 Pr 3.12, 2 Sm 3.43
Pr: 0.0000 0.2718 0.7500  3 Ho 3.11-3.42
Pr: 0.2473 0.1211 0.7467  3 Ho 3.46-3.77, 3 Pr 3.46-3.53, 2 Sm 3.78-3.81
Sm: 0.1533 0.3785 0.5584  3 Ho 3.29-3.51, 4 Pr 3.43-3.59
Ho: 0.0000 0.4792 0.7500  3 Pr 3.11-3.46, 2 Sm 3.39
Ho: 0.1559 0.1241 0.0561  1 Sm 3.29, 5 Pr 3.42-3.59, 1 Ho 3.52

=====

Which of them is most stable, and which least? Most stable: version 2; least stable: version 1.

=====

Version 1
Here is crystalline PrSm2Ho8 at its relaxed geometry from Alexandria via LeMat-Bulk. Energies are from PBE-GGA.

N(E_F) in states/eV/atom: 1.325

a = 5.4988 Å, b = 8.1123 Å, c = 16.0417 Å
α = 90.00°, β = 90.00°, γ = 90.00°
Closest atoms and distances in Å follow each position.
Space group Immm (No. 71)
Asymmetric unit:
Pr: 0.0000 0.0000 0.0000  8 Ho 3.27-3.64
Sm: 0.0000 0.0000 0.3001  10 Ho 3.36-3.61
Ho: 0.0000 0.2054 0.5000  7 Ho 3.33-3.54, 2 Sm 3.61, 2 Pr 3.64
Ho: 0.0000 0.2932 0.1395  1 Pr 3.27, 6 Ho 3.36-3.65, 3 Sm 3.36-3.51
Ho: 0.0000 0.5000 0.3383  8 Ho 3.53-3.65, 2 Sm 3.53, 2 Pr 3.78

=====

Version 2
Here is crystalline PrSm2Ho8 at its relaxed geometry from Alexandria via LeMat-Bulk. Energies are from PBE-GGA.

N(E_F) in states/eV/atom: 1.634

a = 19.0534 Å, b = 6.9841 Å, c = 5.5363 Å
α = 90.00°, β = 92.88°, γ = 90.00°
Closest atoms and distances in Å follow each position.
Space group C2/m (No. 12)
Asymmetric unit:
Pr: 0.0000 0.0000 0.0000  10 Ho 3.52-3.82
Sm: 0.2155 0.5000 0.2504  11 Ho 3.22-3.60
Ho: 0.0464 0.5000 0.2382  2 Ho 3.10-3.47, 1 Sm 3.22
Ho: 0.1319 0.2666 0.7321  4 Ho 3.26-3.53, 3 Sm 3.45-3.60, 1 Pr 3.52
Ho: 0.1873 0.0000 0.2335  4 Sm 3.33-3.53, 4 Ho 3.46-3.53

=====

Which of them is most stable, and which least? Most stable: version 1; least stable: version 2.